Ru2WCl: optimized geometry, PBE-GGA.

```
Ru2WCl
1.0
-3.553 2.307 1.130
-1.218 0.230 4.205
0.440 3.763 2.207
Ru Cl W
2 1 1
Cartesian
0.000 0.000 0.000 Ru
-3.248 4.725 5.656 Ru
-2.166 3.150 3.771 Cl
-1.083 1.575 1.885 W
```

Values from the calculation:
Symmetry = No. 216
Electronic total energy = -7.430 eV/atom
ΔE to the lowest computed polymorph = 598 meV per atom
Formation energy without anion corrections = 87.6 kJ/mol of atoms